Record 1
This record from the Alexandria database describes a geometry-optimized ScRu2Se structure. The functional is PBE.

abc: 5.297 5.297 5.297
angles: 145.28 131.19 61.28
Fractional coordinates of all 4 atoms:
Se: 0.234 0.734 0.500
Sc: 0.492 0.492 0.000
Ru: 0.759 0.259 0.500
Ru: 0.015 0.015 0.000

Properties
Total energy, eV per atom: -7.32
DOS(E_F), states/eV/f.u.: 4.4
Calculated volume, Å³ per atom: 15.8
Calculated density, g/cm³: 8.587

***

Record 2
This record from the Alexandria database describes a geometry-optimized ScRuSe structure. The functional is PBE.

abc: 4.952 4.952 4.952
angles: 138.45 138.46 60.21
Site moments in Bohr magnetons follow the coordinates.
Fractional coordinates of all 3 atoms:
Ru: 0.979 0.979 0.000  0.26
Se: 0.680 0.680 0.000  0.01
Sc: 0.341 0.341 0.000  -0.02

Properties
Relative energy among the computed polymorphs, meV/atom: 246
DOS(E_F), states/eV/f.u.: 2.7
Calculated volume, Å³ per atom: 17.6
Calculated density, g/cm³: 7.069

***

Record 3
This record from the Alexandria database describes a geometry-optimized ScRu2Se structure. The functional is PBE.

abc: 4.083 3.081 5.335
angles: 73.18 90.00 90.00
Fractional coordinates of all 4 atoms:
Se: 0.500 0.946 0.732
Ru: 0.000 0.805 0.016
Ru: 0.500 0.196 0.234
Sc: 0.000 0.553 0.519

Properties
Total energy, eV per atom: -7.35
DOS(E_F), states/eV/f.u.: 3.6
Calculated volume, Å³ per atom: 16.1
Calculated density, g/cm³: 8.428